An optimized crystal structure of ScCrCl3, computed with PBE.

Calculated values
As for the space-group type: Pm-3m (221). The calculation puts the raw formation energy at -2.89 eV/f.u. The calculated total energy comes out at -4.88 eV per atom.

Unit cell a=4.9230 b=4.9230 c=4.9230 alpha=90.00 beta=90.00 gamma=90.00
Positions (direct):
1 Sc 0.5000 0.5000 0.5000
2 Cr 0.0000 0.0000 0.0000
3 Cl 0.0000 0.5000 0.0000
4 Cl 0.0000 0.0000 0.5000
5 Cl 0.5000 0.0000 0.0000